# 1
Material: Sm8Tm5Sc
Method: DFT, PBE-GGA
State: relaxed

Calculated values
**Fermi-level density of states**: 20.888 states/eV/f.u.
**E_form**: 2.59 eV per formula unit

Cell lengths 8.6927, 8.6927, 8.4656 Å; angles 116.95, 116.95, 56.73 degrees
Positions (direct):
Sm: 0.0324 0.5959 0.4315
Sm: 0.1248 0.1248 0.1808
Sm: 0.2290 0.4318 0.7874
Sm: 0.4041 0.9676 0.5685
Sm: 0.5242 0.1065 0.0779
Sm: 0.5682 0.7710 0.2126
Sm: 0.8752 0.8752 0.8192
Sm: 0.8935 0.4758 0.9221
Tm: 0.2553 0.6461 0.2283
Tm: 0.3539 0.7447 0.7717
Tm: 0.5163 0.2742 0.5327
Tm: 0.7258 0.4837 0.4673
Tm: 0.9524 0.0476 0.5000
Sc: 0.6610 0.3390 0.0000

=====

# 2
Material: Sm2Tm5Sc12
Method: DFT, PBE-GGA
State: relaxed

Calculated values
**Fermi-level density of states**: 30.486 states/eV/f.u.
**E_form**: 2.63 eV per formula unit

Cell lengths 8.6471, 8.6471, 8.0648 Å; angles 91.68, 91.68, 59.63 degrees
Positions (direct):
Sm: 0.1932 0.8068 0.0000
Sm: 0.8068 0.1932 0.0000
Tm: 0.2004 0.2004 0.0022
Tm: 0.2631 0.2631 0.4196
Tm: 0.5000 0.5000 0.5000
Tm: 0.7369 0.7369 0.5804
Tm: 0.7996 0.7996 0.9978
Sc: 0.0520 0.0520 0.3314
Sc: 0.0636 0.6827 0.3510
Sc: 0.1645 0.5233 0.7496
Sc: 0.3173 0.9364 0.6490
Sc: 0.4060 0.4060 0.1186
Sc: 0.4767 0.8355 0.2504
Sc: 0.5233 0.1645 0.7496
Sc: 0.5940 0.5940 0.8814
Sc: 0.6827 0.0636 0.3510
Sc: 0.8355 0.4767 0.2504
Sc: 0.9364 0.3173 0.6490
Sc: 0.9480 0.9480 0.6686

=====

# 3
Material: SmTm2Sc
Method: DFT, PBE-GGA
State: relaxed

Calculated values
**Fermi-level density of states**: 6.271 states/eV/f.u.
**E_form**: 0.19 eV per formula unit
**ΔE to the lowest computed polymorph**: 20 meV per atom

Cell lengths 3.4708, 3.4708, 9.8011 Å; angles 90.00, 90.00, 90.00 degrees
Positions (direct):
Sm: 0.0000 0.0000 0.0000
Tm: 0.5000 0.5000 0.2634
Tm: 0.5000 0.5000 0.7366
Sc: 0.0000 0.0000 0.5000

=====

# 4
Material: SmTm4Sc
Method: DFT, PBE-GGA
State: relaxed

Calculated values
**Fermi-level density of states**: 10.484 states/eV/f.u.
**E_form**: 0.63 eV per formula unit
**ΔE to the lowest computed polymorph**: 0 meV per atom

Cell lengths 3.3841, 5.5124, 9.5034 Å; angles 90.00, 90.00, 90.00 degrees
Positions (direct):
Sm: 0.0000 0.0000 0.0000
Tm: 0.5000 0.0000 0.3388
Tm: 0.5000 0.0000 0.6612
Tm: 0.5000 0.5000 0.1737
Tm: 0.5000 0.5000 0.8263
Sc: 0.0000 0.5000 0.5000